The following is a DFT calculation (PBE) of an optimized crystal structure of Ta4CrCo.

* formation energy from the elements: 0.68 eV per atom
* magnetic moment: 3.97 μB/f.u.

a = 5.350 Å, b = 5.350 Å, c = 5.350 Å
α = 60.00°, β = 60.00°, γ = 60.00°
Last column: magnetic moment on the atom in μB.
Fractional coordinates of all 6 atoms:
Ta 0.375 0.876 0.375  -0.12
Ta 0.375 0.375 0.375  -0.12
Ta 0.375 0.375 0.876  -0.12
Ta 0.876 0.375 0.375  -0.12
Co 0.750 0.750 0.750  1.52
Cr 0.000 0.000 0.000  2.98

The following is a DFT calculation (PBE) of an optimized crystal structure of TaCrCo.

* energy relative to the lowest polymorph listed for this composition: 287.1 meV per atom
* formation energy from the elements: 0.10 eV per atom
* magnetic moment: 0.00 μB/f.u.

a = 5.828 Å, b = 5.809 Å, c = 2.713 Å
α = 76.90°, β = 76.14°, γ = 26.96°
Fractional coordinates of all 3 atoms:
Cr 0.353 0.353 0.647
Ta 0.664 0.664 0.336
Co 0.984 0.984 0.016

The following is a DFT calculation (PBE) of an optimized crystal structure of TaCrCo3.

* energy relative to the lowest polymorph listed for this composition: 826.8 meV per atom
* formation energy from the elements: 1.80 eV per atom
* magnetic moment: 1.11 μB/f.u.

a = 4.394 Å, b = 4.394 Å, c = 4.394 Å
α = 90.00°, β = 90.00°, γ = 90.00°
Last column: magnetic moment on the atom in μB.
Fractional coordinates of all 5 atoms:
Ta 0.000 0.000 0.000  0.13
Cr 0.500 0.500 0.500  0.06
Co 0.500 0.000 0.000  -0.45
Co 0.000 0.000 0.500  -0.44
Co 0.000 0.500 0.000  -0.39